Density functional theory data (PBE) for a geometry-optimized PrTmAgHg structure.

Values from the calculation:
Energy above the lowest structure with this stoichiometry: 12 meV per atom
SG: F-43m
Crystal system: cubic
E_form: -369 meV/atom

Cell: 5.2792 5.2792 5.2792 Å, 60.00 60.00 60.00°
Closest atoms and distances in Å follow each position.
Sites, in units of the cell vectors:
1 Pr 0.5000 0.5000 0.5000  4 Hg 3.23, 4 Ag 3.23
2 Tm 0.0000 0.0000 0.0000  4 Hg 3.23, 4 Ag 3.23
3 Hg 0.7500 0.7500 0.7500  4 Tm 3.23, 4 Pr 3.23
4 Ag 0.2500 0.2500 0.2500  4 Pr 3.23, 4 Tm 3.23